1.
Material: SrNiTe
Method: DFT, PBE
State: relaxed

Values from the calculation:
energy = -0.31484 Ry per atom
energy relative to the elements, uncorrected = -0.749 eV per atom

abc: 10.047 10.047 10.047
angles: 25.11 25.11 25.11
Sites, in units of the cell vectors:
Sr1 0.000 0.000 0.000
Sr2 0.145 0.145 0.145
Ni1 0.565 0.565 0.565
Ni2 0.891 0.891 0.891
Te1 0.256 0.256 0.256
Te2 0.405 0.405 0.405

=====

2.
Material: KLiCO3
Method: DFT, PBE
State: relaxed

Values from the calculation:
polymorph energy (0 for the lowest one) = 0.000 eV per atom
energy = -0.46777 Ry per atom
energy relative to the elements, uncorrected = -1.846 eV per atom

abc: 6.911 7.334 7.858
angles: 90.00 121.25 90.00
Sites, in units of the cell vectors:
K1 0.144 0.181 0.362
K2 0.144 0.319 0.862
K3 0.856 0.681 0.138
K4 0.856 0.819 0.638
Li1 0.415 0.552 0.299
Li2 0.415 0.948 0.799
Li3 0.585 0.052 0.201
Li4 0.585 0.448 0.701
C1 0.316 0.698 0.571
C2 0.316 0.802 0.071
C3 0.684 0.198 0.929
C4 0.684 0.302 0.429
O1 0.177 0.667 0.022
O2 0.177 0.833 0.522
O3 0.268 0.553 0.460
O4 0.268 0.947 0.960
O5 0.487 0.206 0.761
O6 0.487 0.294 0.261
O7 0.513 0.706 0.739
O8 0.513 0.794 0.239
O9 0.732 0.053 0.040
O10 0.732 0.447 0.540
O11 0.823 0.167 0.478
O12 0.823 0.333 0.978

=====

3.
Material: NpZnSn2
Method: DFT, PBE
State: relaxed

Values from the calculation:
polymorph energy (0 for the lowest one) = 0.000 eV per atom
DFT formation energy = -2.094 kcal/mol of atoms
energy = -0.41497 Ry per atom

abc: 4.592 4.592 4.376
angles: 90.00 90.00 90.00
Sites, in units of the cell vectors:
Np1 0.000 0.000 0.000
Zn1 0.500 0.500 0.000
Sn1 0.000 0.500 0.500
Sn2 0.500 0.000 0.500

=====

4.
Material: La2Cu2Ag
Method: DFT, PBE
State: relaxed

Values from the calculation:
polymorph energy (0 for the lowest one) = 0.316 eV per atom
DFT formation energy = 1.741 kcal/mol of atoms
energy = -0.30165 Ry per atom

abc: 8.384 8.384 3.671
angles: 90.00 90.00 90.00
Sites, in units of the cell vectors:
La1 0.172 0.328 0.000
La2 0.328 0.828 0.000
La3 0.672 0.172 0.000
La4 0.828 0.672 0.000
Cu1 0.112 0.612 0.500
Cu2 0.388 0.112 0.500
Cu3 0.612 0.888 0.500
Cu4 0.888 0.388 0.500
Ag1 0.000 0.000 0.000
Ag2 0.500 0.500 0.000

=====

5.
Material: Cu5Ni12Ge2
Method: DFT, PBE
State: relaxed

Values from the calculation:
DFT formation energy = 0.825 kcal/mol of atoms
energy = -0.38069 Ry per atom

abc: 6.579 6.579 5.840
angles: 91.41 91.41 62.87
Sites, in units of the cell vectors:
Cu1 0.000 0.000 0.000
Cu2 0.237 0.237 0.083
Cu3 0.302 0.302 0.506
Cu4 0.698 0.698 0.494
Cu5 0.763 0.763 0.917
Ni1 0.027 0.658 0.247
Ni2 0.094 0.094 0.390
Ni3 0.178 0.576 0.847
Ni4 0.342 0.973 0.753
Ni5 0.424 0.822 0.153
Ni6 0.447 0.447 0.182
Ni7 0.553 0.553 0.818
Ni8 0.576 0.178 0.847
Ni9 0.658 0.027 0.247
Ni10 0.822 0.424 0.153
Ni11 0.906 0.906 0.610
Ni12 0.973 0.342 0.753
Ge1 0.291 0.709 0.500
Ge2 0.709 0.291 0.500

=====

6.
Material: Nd8Al2Ir
Method: DFT, PBE
State: relaxed

Values from the calculation:
DFT formation energy = -5.901 kcal/mol of atoms
energy = -0.38288 Ry per atom

abc: 9.783 9.783 6.881
angles: 103.59 103.59 30.72
Sites, in units of the cell vectors:
Nd1 0.020 0.020 0.282
Nd2 0.210 0.210 0.796
Nd3 0.349 0.349 0.536
Nd4 0.407 0.407 0.057
Nd5 0.593 0.593 0.943
Nd6 0.651 0.651 0.464
Nd7 0.790 0.790 0.204
Nd8 0.980 0.980 0.718
Al1 0.186 0.186 0.235
Al2 0.814 0.814 0.765
Ir1 0.500 0.500 0.500

=====

7.
Material: Ce2SmPt9
Method: DFT, PBE
State: relaxed

Values from the calculation:
polymorph energy (0 for the lowest one) = 0.000 eV per atom
DFT formation energy = -22.666 kcal/mol of atoms
energy = -0.50683 Ry per atom

abc: 4.171 4.171 12.500
angles: 90.00 90.00 90.00
Sites, in units of the cell vectors:
Ce1 0.000 0.000 0.167
Ce2 0.000 0.000 0.833
Sm1 0.000 0.000 0.500
Pt1 0.000 0.500 0.000
Pt2 0.000 0.500 0.330
Pt3 0.000 0.500 0.670
Pt4 0.500 0.000 0.000
Pt5 0.500 0.000 0.330
Pt6 0.500 0.000 0.670
Pt7 0.500 0.500 0.166
Pt8 0.500 0.500 0.500
Pt9 0.500 0.500 0.834

=====

8.
Material: Ta2OsSe
Method: DFT, PBE
State: relaxed

Values from the calculation:
energy = -0.71928 Ry per atom
energy relative to the elements, uncorrected = -0.181 eV per atom

abc: 3.057 3.057 7.137
angles: 90.00 90.00 90.00
Sites, in units of the cell vectors:
Ta1 0.000 0.000 0.242
Ta2 0.000 0.000 0.758
Os1 0.500 0.500 0.000
Se1 0.500 0.500 0.500